DFT (GGA-PBE) results for crystalline CeBe2H6 at its relaxed geometry.

a b c (Å): 3.203 4.319 5.936
angles (deg): 79.98 74.35 68.24
Element x y z (fractional)
1 H 0.045 0.787 0.123
2 Ce 0.000 0.500 0.500
3 H 0.703 0.754 0.840
4 H 0.271 0.876 0.582
5 H 0.729 0.124 0.418
6 Be 0.852 0.150 0.146
7 H 0.955 0.213 0.877
8 Be 0.148 0.850 0.854
9 H 0.297 0.246 0.160

Output
Energy above the most stable polymorph in this dataset in meV/atom: 0
Final energy in eV/atom: -3.8521

DFT (GGA-PBE) results for crystalline CeBe4H12 at its relaxed geometry.

a b c (Å): 5.594 5.594 5.594
angles (deg): 109.47 109.47 109.47
Element x y z (fractional)
1 H 0.761 0.245 0.006
2 H 0.239 0.755 0.994
3 H 0.755 0.515 0.761
4 Be 0.000 0.000 0.500
5 H 0.239 0.245 0.485
6 Be 0.000 0.500 0.000
7 H 0.761 0.755 0.515
8 Be 0.500 0.000 0.000
9 Be 0.500 0.500 0.500
10 H 0.515 0.761 0.755
11 Ce 0.000 0.000 0.000
12 H 0.755 0.994 0.239
13 H 0.245 0.006 0.761
14 H 0.485 0.239 0.245
15 H 0.006 0.761 0.245
16 H 0.245 0.485 0.239
17 H 0.994 0.239 0.755

Output
Final energy in eV/atom: -3.6723

DFT (GGA-PBE) results for crystalline Ce2BeH8 at its relaxed geometry.

a b c (Å): 3.894 4.671 6.119
angles (deg): 112.47 108.55 90.00
Element x y z (fractional)
1 H 0.211 0.210 0.421
2 H 0.383 0.654 0.766
3 Ce 0.831 0.331 0.662
4 H 0.617 0.888 0.234
5 H 0.000 0.229 0.000
6 H 0.383 0.112 0.766
7 Ce 0.169 0.669 0.338
8 H 0.617 0.346 0.234
9 H 0.789 0.790 0.579
10 Be 0.500 0.000 0.000
11 H 0.000 0.771 0.000

Output
Final energy in eV/atom: -4.1069

DFT (GGA-PBE) results for crystalline CeBe3H9 at its relaxed geometry.

a b c (Å): 6.354 6.354 6.717
angles (deg): 90.00 90.00 105.43
Element x y z (fractional)
1 H 0.053 0.285 0.055
2 Ce 0.343 0.343 0.500
3 H 0.285 0.053 0.945
4 H 0.715 0.947 0.445
5 H 0.355 0.749 0.071
6 Be 0.190 0.857 0.060
7 Ce 0.657 0.657 0.000
8 H 0.733 0.016 0.055
9 H 0.592 0.641 0.656
10 Be 0.742 0.742 0.500
11 H 0.645 0.251 0.571
12 H 0.251 0.645 0.429
13 H 0.749 0.355 0.929
14 H 0.359 0.408 0.844
15 H 0.984 0.267 0.445
16 Be 0.810 0.143 0.560
17 H 0.267 0.984 0.555
18 Be 0.143 0.810 0.440
19 H 0.904 0.096 0.750
20 H 0.016 0.733 0.945
21 H 0.096 0.904 0.250
22 H 0.408 0.359 0.156
23 H 0.641 0.592 0.344
24 H 0.947 0.715 0.555
25 Be 0.857 0.190 0.940
26 Be 0.258 0.258 0.000

Output
Final energy in eV/atom: -3.7717

DFT (GGA-PBE) results for crystalline CeBeH4 at its relaxed geometry.

a b c (Å): 6.578 6.545 4.390
angles (deg): 109.35 109.71 123.54
Element x y z (fractional)
1 Ce 0.628 0.378 0.757
2 Be 0.873 0.123 0.245
3 H 0.190 0.811 0.475
4 Ce 0.372 0.622 0.243
5 H 0.348 0.222 0.036
6 H 0.810 0.189 0.525
7 H 0.652 0.778 0.964
8 H 0.785 0.664 0.475
9 H 0.812 0.186 0.964
10 H 0.215 0.336 0.525
11 H 0.188 0.814 0.036
12 Be 0.127 0.877 0.755

Output
Final energy in eV/atom: -4.1417

DFT (GGA-PBE) results for crystalline CeBe2H6 at its relaxed geometry.

a b c (Å): 4.681 4.681 4.681
angles (deg): 60.00 60.00 60.00
Element x y z (fractional)
1 H 0.681 0.319 0.319
2 Ce 0.000 0.000 0.000
3 H 0.319 0.319 0.681
4 Be 0.750 0.750 0.750
5 H 0.319 0.681 0.319
6 H 0.319 0.681 0.681
7 H 0.681 0.319 0.681
8 H 0.681 0.681 0.319
9 Be 0.250 0.250 0.250

Output
Energy above the most stable polymorph in this dataset in meV/atom: 1064
Final energy in eV/atom: -2.7878

DFT (GGA-PBE) results for crystalline CeBeH4 at its relaxed geometry.

a b c (Å): 4.016 4.534 6.267
angles (deg): 90.00 90.00 90.00
Element x y z (fractional)
1 H 0.651 0.990 0.500
2 H 0.349 0.490 0.000
3 Be 0.713 0.507 0.000
4 Be 0.287 0.007 0.500
5 Ce 0.259 0.985 0.000
6 Ce 0.741 0.485 0.500
7 H 0.789 0.721 0.830
8 H 0.211 0.221 0.330
9 H 0.227 0.704 0.500
10 H 0.211 0.221 0.670
11 H 0.773 0.204 0.000
12 H 0.789 0.721 0.170

Output
Final energy in eV/atom: -4.1423

DFT (GGA-PBE) results for crystalline CeBe2H8Ir at its relaxed geometry.

a b c (Å): 4.257 4.257 6.498
angles (deg): 70.88 70.88 60.00
Element x y z (fractional)
1 Ce 0.500 0.500 0.500
2 H 0.813 0.813 0.561
3 H 0.629 0.283 0.173
4 H 0.915 0.629 0.173
5 Ir 0.000 0.000 0.000
6 H 0.283 0.915 0.173
7 Be 0.730 0.730 0.810
8 Be 0.270 0.270 0.190
9 H 0.085 0.371 0.827
10 H 0.371 0.717 0.827
11 H 0.717 0.085 0.827
12 H 0.187 0.187 0.439

Output
Final energy in eV/atom: -4.2124

DFT (GGA-PBE) results for crystalline LiCeBe2H8 at its relaxed geometry.

a b c (Å): 4.375 4.375 6.600
angles (deg): 90.00 90.00 120.00
Element x y z (fractional)
1 H 0.667 0.333 0.022
2 H 0.674 0.724 0.707
3 H 0.326 0.276 0.293
4 H 0.724 0.050 0.293
5 H 0.950 0.674 0.293
6 Ce 0.000 0.000 0.000
7 H 0.333 0.667 0.978
8 H 0.050 0.326 0.707
9 Li 0.000 0.000 0.500
10 H 0.276 0.950 0.707
11 Be 0.667 0.333 0.249
12 Be 0.333 0.667 0.751

Output
Final energy in eV/atom: -3.7996

DFT (GGA-PBE) results for crystalline CeBe2NiH8 at its relaxed geometry.

a b c (Å): 4.184 4.184 6.358
angles (deg): 70.79 70.79 60.00
Element x y z (fractional)
1 Ni 0.000 0.000 0.000
2 H 0.273 0.928 0.175
3 Be 0.731 0.731 0.806
4 H 0.727 0.072 0.825
5 Be 0.269 0.269 0.194
6 H 0.181 0.181 0.456
7 H 0.624 0.273 0.175
8 H 0.072 0.376 0.825
9 Ce 0.500 0.500 0.500
10 H 0.376 0.727 0.825
11 H 0.928 0.624 0.175
12 H 0.819 0.819 0.544

Output
Final energy in eV/atom: -3.9768

DFT (GGA-PBE) results for crystalline CeBePH at its relaxed geometry.

a b c (Å): 3.815 3.815 4.215
angles (deg): 90.00 90.00 120.00
Element x y z (fractional)
1 H 0.239 0.477 0.899
2 Ce 0.905 0.810 0.773
3 P 0.572 0.144 0.301
4 Be 0.239 0.477 0.266

Output
Final energy in eV/atom: -5.4111

DFT (GGA-PBE) results for crystalline CeBe2PH2 at its relaxed geometry.

a b c (Å): 4.682 5.673 5.943
angles (deg): 116.83 90.00 90.00
Element x y z (fractional)
1 Be 0.505 0.837 0.807
2 H 0.750 0.357 0.321
3 P 0.250 0.195 0.900
4 H 0.250 0.183 0.389
5 Be 0.995 0.837 0.807
6 H 0.750 0.817 0.611
7 P 0.750 0.805 0.100
8 Ce 0.250 0.725 0.323
9 Be 0.495 0.163 0.193
10 Be 0.005 0.163 0.193
11 Ce 0.750 0.275 0.677
12 H 0.250 0.643 0.679

Output
Final energy in eV/atom: -4.5560

DFT (GGA-PBE) results for crystalline CeBeH6Pd at its relaxed geometry.

a b c (Å): 4.375 4.375 4.376
angles (deg): 90.00 90.00 60.00
Element x y z (fractional)
1 H 0.026 0.487 0.223
2 H 0.487 0.026 0.223
3 H 0.487 0.026 0.777
4 H 0.026 0.487 0.777
5 Pd 0.667 0.667 0.500
6 Ce 0.000 0.000 0.000
7 H 0.487 0.487 0.777
8 H 0.487 0.487 0.223
9 Be 0.333 0.333 0.500

Output
Final energy in eV/atom: -4.1126

DFT (GGA-PBE) results for crystalline CeBe2H8Pd at its relaxed geometry.

a b c (Å): 4.275 4.275 6.558
angles (deg): 70.97 70.97 60.00
Element x y z (fractional)
1 H 0.404 0.708 0.811
2 Be 0.740 0.740 0.780
3 H 0.823 0.823 0.531
4 Be 0.260 0.260 0.220
5 H 0.292 0.923 0.189
6 H 0.077 0.404 0.811
7 Ce 0.500 0.500 0.500
8 H 0.596 0.292 0.189
9 H 0.177 0.177 0.469
10 H 0.708 0.077 0.811
11 Pd 0.000 0.000 0.000
12 H 0.923 0.596 0.189

Output
Final energy in eV/atom: -3.9278

DFT (GGA-PBE) results for crystalline Ce2BeHPt6 at its relaxed geometry.

a b c (Å): 5.670 6.742 6.745
angles (deg): 49.77 65.21 90.03
Element x y z (fractional)
1 H 0.000 0.000 0.000
2 Pt 0.763 0.237 0.969
3 Ce 0.777 0.223 0.446
4 Ce 0.223 0.777 0.554
5 Pt 0.763 0.730 0.474
6 Be 0.500 0.500 0.000
7 Pt 0.237 0.763 0.031
8 Pt 0.269 0.236 0.969
9 Pt 0.731 0.764 0.031
10 Pt 0.237 0.270 0.526

Output
Final energy in eV/atom: -6.3180

DFT (GGA-PBE) results for crystalline CeBeSiH at its relaxed geometry.

a b c (Å): 3.950 3.950 4.162
angles (deg): 90.00 90.00 120.00
Element x y z (fractional)
1 Si 0.572 0.144 0.307
2 H 0.239 0.477 0.889
3 Be 0.239 0.477 0.260
4 Ce 0.905 0.810 0.783

Output
Final energy in eV/atom: -5.1998

DFT (GGA-PBE) results for crystalline CeBeZnH6 at its relaxed geometry.

a b c (Å): 4.283 4.283 4.504
angles (deg): 89.99 90.00 60.00
Element x y z (fractional)
1 H 0.487 0.026 0.771
2 H 0.487 0.487 0.229
3 Zn 0.667 0.667 0.500
4 Be 0.333 0.333 0.500
5 H 0.026 0.487 0.772
6 H 0.026 0.487 0.229
7 H 0.487 0.487 0.771
8 H 0.487 0.026 0.228
9 Ce 0.000 0.000 0.000

Output
Final energy in eV/atom: -3.5214

DFT (GGA-PBE) results for crystalline CeHf2Be6 at its relaxed geometry.

a b c (Å): 3.143 6.822 7.511
angles (deg): 117.01 114.70 90.00
Element x y z (fractional)
1 Be 0.845 0.344 0.345
2 Be 0.500 0.345 0.000
3 Hf 0.333 0.667 0.333
4 Hf 0.667 0.333 0.667
5 Ce 0.000 0.000 0.000
6 Be 0.845 0.000 0.345
7 Be 0.155 0.656 0.655
8 Be 0.155 0.000 0.655
9 Be 0.500 0.655 0.000

Output
Final energy in eV/atom: -5.3649
Calculated formation energy in meV per atom: -10

DFT (GGA-PBE) results for crystalline CeHfBeN3 at its relaxed geometry.

a b c (Å): 3.216 6.902 6.864
angles (deg): 103.55 90.00 90.00
Element x y z (fractional)
1 Be 0.250 0.079 0.598
2 Ce 0.250 0.184 0.218
3 N 0.250 0.563 0.838
4 Hf 0.750 0.340 0.830
5 Be 0.750 0.921 0.402
6 N 0.250 0.121 0.856
7 N 0.750 0.167 0.520
8 N 0.750 0.879 0.144
9 Ce 0.750 0.816 0.782
10 Hf 0.250 0.660 0.170
11 N 0.750 0.437 0.162
12 N 0.250 0.833 0.480

Output
Final energy in eV/atom: -8.8860

DFT (GGA-PBE) results for crystalline CeHf2BeN4 at its relaxed geometry.

a b c (Å): 3.221 5.638 10.745
angles (deg): 90.00 90.00 106.60
Element x y z (fractional)
1 Be 0.173 0.346 0.250
2 N 0.736 0.473 0.620
3 Hf 0.631 0.263 0.052
4 N 0.000 0.000 0.500
5 Hf 0.369 0.737 0.552
6 N 0.736 0.473 0.880
7 Hf 0.369 0.737 0.948
8 N 0.264 0.527 0.380
9 N 0.264 0.527 0.120
10 N 0.000 0.000 0.000
11 N 0.416 0.833 0.750
12 Ce 0.899 0.798 0.250
13 Ce 0.101 0.202 0.750
14 N 0.584 0.167 0.250
15 Be 0.827 0.654 0.750
16 Hf 0.631 0.263 0.448

Output
Final energy in eV/atom: -9.4703

DFT (GGA-PBE) results for crystalline CeBeHg at its relaxed geometry.

a b c (Å): 3.845 4.225 8.178
angles (deg): 75.03 90.00 90.00
Element x y z (fractional)
1 Be 0.250 0.467 0.067
2 Hg 0.750 0.699 0.601
3 Hg 0.250 0.301 0.399
4 Ce 0.250 0.091 0.818
5 Be 0.750 0.533 0.933
6 Ce 0.750 0.909 0.182

Output
Final energy in eV/atom: -3.3961
Calculated formation energy in meV per atom: -75